(1)
A geometry-optimized Mn7Tc structure. Source: Alexandria via LeMat-Bulk, functional PBE-GGA.

Cell and atoms, written as POSCAR:
```
Mn7Tc
1.0
0.7035 3.1181 3.9484
-2.2994 -0.9512 4.4289
2.7280 -1.5409 3.9989
Mn Tc
7 1
Direct
0.0000 0.5000 0.5000
0.5000 0.5000 0.0000
0.5000 0.0000 0.5000
0.5000 0.5000 0.5000
0.5000 0.0000 0.0000
0.0000 0.0000 0.5000
0.0000 0.5000 0.0000
0.0000 0.0000 0.0000
```

Values from the calculation:
- space-group type = No. 225
- total magnetization (μB/f.u.) = 3.0
- raw total energy (eV/atom) = -9.21
- calculated volume (Å³ per cell) = 92.7
- energy of formation from the pure elements (meV/atom) = 108

=====

(2)
A geometry-optimized MnTc3 structure. Source: Alexandria via LeMat-Bulk, functional PBE-GGA.

Cell and atoms, written as POSCAR:
```
MnTc3
1.0
-0.0197 0.0411 -4.8327
-2.0658 -4.3690 -0.0287
-4.3691 2.0656 0.0353
Tc Mn
6 2
Direct
0.5000 0.0000 0.2500
0.2500 0.5000 0.0000
0.0000 0.7500 0.5000
0.0000 0.2500 0.5000
0.7500 0.5000 0.0000
0.5000 0.0000 0.7500
0.5000 0.5000 0.5000
0.0000 0.0000 0.0000
```

Values from the calculation:
- space-group type = No. 223
- total magnetization (μB/f.u.) = 1.9
- raw total energy (eV/atom) = -9.96
- calculated volume (Å³ per cell) = 112.9
- energy of formation from the pure elements (meV/atom) = 104

=====

- The lowest energy of formation from the pure elements belongs to which entry?
  MnTc3

=====

- Which value of raw total energy does entry 1 give?
  -9.21 eV/atom